Computed, not measured: a PBEsol-optimized structure of CuSe2F at the SCAN level of DFT.

Cell and atoms, written as POSCAR:
```
CuSe2F
1.0
4.124 0.000 0.000
0.000 4.124 0.000
-2.062 -2.062 8.240
Cu Se F
2 4 2
Direct
0.250 0.750 0.500
0.000 0.000 0.000
0.295 0.875 0.250
0.955 0.375 0.250
0.125 0.045 0.750
0.625 0.705 0.750
0.750 0.250 0.500
0.500 0.500 0.000
```

Summary:
Mass density, g/cm³: 5.698
E_tot, eV per atom: -14.916

***

Computed, not measured: a PBEsol-optimized structure of Ca2ZnFe at the SCAN level of DFT.

Cell and atoms, written as POSCAR:
```
Ca2ZnFe
1.0
-3.850 -1.089 1.777
0.200 -3.909 -1.962
3.920 0.838 3.615
Zn Ca Fe
1 2 1
Direct
0.250 0.750 0.500
0.000 0.000 0.000
0.750 0.250 0.500
0.500 0.500 0.000
```

Summary:
Mass density, g/cm³: 3.946
Energy of formation from the pure elements, eV per atom: 0.335

***

Computed, not measured: a PBEsol-optimized structure of RbMnIrBr2 at the SCAN level of DFT.

Cell and atoms, written as POSCAR:
```
RbMnIrBr2
1.0
-5.080 -2.930 1.163
3.139 -4.501 2.373
-0.287 2.625 5.357
Mn Ir Br Rb
1 1 2 1
Direct
0.000 0.000 0.500
0.500 0.500 0.500
0.000 0.500 0.000
0.500 0.000 0.000
0.000 0.000 0.000
```

Summary:
Mass density, g/cm³: 3.831
E_tot, eV per atom: -28.503

***

Computed, not measured: a PBEsol-optimized structure of Hg3GeOs at the SCAN level of DFT.

Cell and atoms, written as POSCAR:
```
Hg3GeOs
1.0
-4.832 -1.316 1.104
-1.011 -0.486 -5.004
1.389 -4.933 0.199
Ge Os Hg
1 1 3
Direct
0.500 0.500 0.500
0.000 0.000 0.000
0.000 0.500 0.000
0.000 0.000 0.500
0.500 0.000 0.000
```

Summary:
Mass density, g/cm³: 10.645
Energy of formation from the pure elements, eV per atom: 1.085